[1]
## Sm5YTl5 (PBE)

Data for a relaxed Sm5YTl5 crystal.

Computed properties:
Crystal system   monoclinic
Energy   -3.955 eV per atom
Calculated formation energy   -1.62 eV per formula unit
D(E_F)   1.12 states/eV per atom
Spin magnetization   0.00 μB per formula unit

Lattice parameters (Å, degrees): 5.799 9.502 7.118 112.55 90.00 107.77
Sites, in units of the cell vectors:
1 Sm 0.688 0.376 0.183
2 Sm 0.637 0.274 0.630
3 Sm 0.000 0.000 0.500
4 Sm 0.363 0.726 0.370
5 Sm 0.312 0.624 0.817
6 Y 0.000 0.000 0.000
7 Tl 0.838 0.676 0.067
8 Tl 0.838 0.675 0.609
9 Tl 0.500 0.000 0.000
10 Tl 0.162 0.325 0.391
11 Tl 0.162 0.324 0.933

=====

[2]
## CaAgSCl2 (PBE)

Data for a relaxed CaAgSCl2 crystal.

Computed properties:
Polymorph energy (0 for the lowest one)   0.00 eV per formula unit
Crystal system   tetragonal
Energy   -3.363 eV per atom
D(E_F)   0.31 states/eV per atom
Spin magnetization   0.00 μB per formula unit
Formation energy (no corrections)   -4.1 eV per formula unit

Lattice parameters (Å, degrees): 4.936 4.936 5.067 90.00 90.00 90.00
Sites, in units of the cell vectors:
1 Ca 0.500 0.500 0.500
2 S 0.000 0.000 0.500
3 Ag 0.000 0.000 0.000
4 Cl 0.000 0.500 0.000
5 Cl 0.500 0.000 0.000

=====

[3]
## Tb3Y3Mg2 (PBE)

Data for a relaxed Tb3Y3Mg2 crystal.

Computed properties:
Crystal system   orthorhombic
Energy   -4.484 eV per atom
Calculated formation energy   0.60 eV per formula unit
D(E_F)   1.69 states/eV per atom
Spin magnetization   0.00 μB per formula unit

Lattice parameters (Å, degrees): 5.341 6.447 15.609 90.00 90.00 114.47
Sites, in units of the cell vectors:
1 Tb 0.645 0.290 0.470
2 Tb 0.355 0.710 0.970
3 Tb 0.645 0.290 0.030
4 Tb 0.355 0.710 0.530
5 Tb 0.462 0.924 0.250
6 Tb 0.538 0.076 0.750
7 Y 0.952 0.904 0.397
8 Y 0.048 0.096 0.897
9 Y 0.952 0.904 0.103
10 Y 0.048 0.096 0.603
11 Y 0.741 0.482 0.250
12 Y 0.259 0.518 0.750
13 Mg 0.783 0.567 0.854
14 Mg 0.217 0.433 0.354
15 Mg 0.783 0.567 0.646
16 Mg 0.217 0.433 0.146

=====

[4]
## Sr5Zn4In (PBE)

Data for a relaxed Sr5Zn4In crystal.

Computed properties:
Crystal system   tetragonal
Energy   -1.853 eV per atom
Calculated formation energy   -2.29 eV per formula unit
D(E_F)   0.77 states/eV per atom
Spin magnetization   0.00 μB per formula unit

Lattice parameters (Å, degrees): 3.948 3.948 19.727 90.00 90.00 90.00
Sites, in units of the cell vectors:
1 Sr 0.500 0.500 0.107
2 Sr 0.500 0.500 0.303
3 Sr 0.500 0.500 0.500
4 Sr 0.500 0.500 0.697
5 Sr 0.500 0.500 0.893
6 Zn 0.000 0.000 0.204
7 Zn 0.000 0.000 0.403
8 Zn 0.000 0.000 0.597
9 Zn 0.000 0.000 0.796
10 In 0.000 0.000 0.000

=====

[5]
## Ca2SeCl (PBE)

Data for a relaxed Ca2SeCl crystal.

Computed properties:
Polymorph energy (0 for the lowest one)   0.99 eV per formula unit
Crystal system   orthorhombic
Energy   -3.845 eV per atom
D(E_F)   0.56 states/eV per atom
Spin magnetization   0.00 μB per formula unit
Formation energy (no corrections)   -6.0 eV per formula unit

Lattice parameters (Å, degrees): 4.215 6.344 3.963 90.00 90.00 90.00
Sites, in units of the cell vectors:
1 Ca 0.000 0.000 0.000
2 Ca 0.500 0.500 0.000
3 Se 0.000 0.500 0.500
4 Cl 0.500 0.000 0.500

=====

[6]
## LiCa2LaFe (PBE)

Data for a relaxed LiCa2LaFe crystal.

Computed properties:
Polymorph energy (0 for the lowest one)   0.00 eV per formula unit
Crystal system   tetragonal
Energy   -3.645 eV per atom
Calculated formation energy   1.08 eV per formula unit
D(E_F)   0.74 states/eV per atom
Spin magnetization   0.02 μB per formula unit

Lattice parameters (Å, degrees): 5.684 5.684 4.978 90.00 90.00 90.00
Sites, in units of the cell vectors:
1 Ca 0.000 0.500 0.000
2 Ca 0.500 0.000 0.000
3 Li 0.500 0.500 0.500
4 Fe 0.000 0.000 0.000
5 La 0.000 0.000 0.500

=====

[7]
## BaY2Au (PBE)

Data for a relaxed BaY2Au crystal.

Computed properties:
Polymorph energy (0 for the lowest one)   1.33 eV per formula unit
Crystal system   tetragonal
Energy   -4.501 eV per atom
Calculated formation energy   0.12 eV per formula unit
D(E_F)   1.75 states/eV per atom
Spin magnetization   0.00 μB per formula unit

Lattice parameters (Å, degrees): 6.263 6.263 6.263 135.05 135.05 65.45
Sites, in units of the cell vectors:
1 Au 0.500 0.500 0.000
2 Ba 0.750 0.250 0.500
3 Y 0.000 0.000 0.000
4 Y 0.250 0.750 0.500

=====

[8]
## Ac2MgZnAg6 (PBE)

Data for a relaxed Ac2MgZnAg6 crystal.

Computed properties:
Crystal system   orthorhombic
Energy   -2.818 eV per atom
Calculated formation energy   0.02 eV per formula unit
D(E_F)   0.68 states/eV per atom
Spin magnetization   0.00 μB per formula unit

Lattice parameters (Å, degrees): 7.122 7.127 7.125 59.96 59.99 89.86
Sites, in units of the cell vectors:
1 Ac 0.750 0.250 0.500
2 Ac 0.250 0.750 0.500
3 Mg 0.000 0.000 0.000
4 Zn 0.500 0.500 0.000
5 Ag 0.254 0.254 0.492
6 Ag 0.746 0.746 0.000
7 Ag 0.254 0.746 0.000
8 Ag 0.746 0.254 0.000
9 Ag 0.254 0.254 0.000
10 Ag 0.746 0.746 0.508

=====

[9]
## TlCrFe2 (PBE)

Data for a relaxed TlCrFe2 crystal.

Computed properties:
Polymorph energy (0 for the lowest one)   0.29 eV per formula unit
Crystal system   tetragonal
Energy   -6.690 eV per atom
Calculated formation energy   2.15 eV per formula unit
D(E_F)   1.32 states/eV per atom
Spin magnetization   0.77 μB per formula unit

Lattice parameters (Å, degrees): 4.789 4.789 4.789 132.25 132.25 69.83
Site moments in Bohr magnetons follow the coordinates.
Sites, in units of the cell vectors:
1 Cr 0.750 0.250 0.500  -3.12
2 Fe 0.000 0.000 0.000  2.11
3 Fe 0.500 0.500 0.000  2.11
4 Tl 0.250 0.750 0.500  -0.06

=====

[10]
## Li2PbI4 (PBE)

Data for a relaxed Li2PbI4 crystal.

Computed properties:
Polymorph energy (0 for the lowest one)   0.30 eV per formula unit
Crystal system   tetragonal
Energy   -2.867 eV per atom
D(E_F)   0.00 states/eV per atom
Spin magnetization   0.00 μB per formula unit
Formation energy (no corrections)   -6.3 eV per formula unit

Lattice parameters (Å, degrees): 6.580 6.580 6.901 90.00 90.00 90.00
Sites, in units of the cell vectors:
1 Li 0.500 0.000 0.500
2 Li 0.000 0.500 0.500
3 Pb 0.000 0.000 0.000
4 I 0.731 0.269 0.726
5 I 0.269 0.269 0.274
6 I 0.269 0.731 0.726
7 I 0.731 0.731 0.274

=====

[11]
## B2H6Br (PBE)

Data for a relaxed B2H6Br crystal.

Computed properties:
Polymorph energy (0 for the lowest one)   0.00 eV per formula unit
Crystal system   monoclinic
Energy   -3.819 eV per atom
D(E_F)   0.16 states/eV per atom
Spin magnetization   0.16 μB per formula unit

Lattice parameters (Å, degrees): 3.335 8.130 8.130 79.49 84.38 84.38
Site moments in Bohr magnetons follow the coordinates.
Sites, in units of the cell vectors:
1 B 0.371 0.604 0.731  0.00
2 B 0.129 0.269 0.396  0.00
3 B 0.629 0.396 0.269  0.00
4 B 0.871 0.731 0.604  0.00
5 H 0.538 0.669 0.584  0.00
6 H 0.962 0.416 0.331  0.00
7 H 0.462 0.331 0.416  0.00
8 H 0.038 0.584 0.669  0.00
9 H 0.964 0.746 0.455  0.00
10 H 0.536 0.545 0.254  0.00
11 H 0.036 0.254 0.545  0.00
12 H 0.464 0.455 0.746  0.00
13 H 0.347 0.669 0.852  0.00
14 H 0.153 0.148 0.331  0.00
15 H 0.653 0.331 0.148  0.00
16 H 0.847 0.852 0.669  0.00
17 Br 0.250 0.108 0.892  0.12
18 Br 0.750 0.892 0.108  0.12

=====

[12]
## Mg2ZrSnS (PBE)

Data for a relaxed Mg2ZrSnS crystal.

Computed properties:
Crystal system   tetragonal
Energy   -4.320 eV per atom
D(E_F)   0.75 states/eV per atom
Spin magnetization   0.00 μB per formula unit
Formation energy (no corrections)   -1.7 eV per formula unit

Lattice parameters (Å, degrees): 4.731 4.984 4.731 90.00 90.00 90.00
Sites, in units of the cell vectors:
1 Mg 0.000 0.000 0.500
2 Mg 0.500 0.000 0.000
3 S 0.000 0.000 0.000
4 Sn 0.500 0.500 0.500
5 Zr 0.000 0.500 0.000

=====

[13]
## RbTlCoHg2 (PBE)

Data for a relaxed RbTlCoHg2 crystal.

Computed properties:
Crystal system   tetragonal
Energy   -2.183 eV per atom
Calculated formation energy   0.13 eV per formula unit
D(E_F)   0.43 states/eV per atom
Spin magnetization   0.00 μB per formula unit

Lattice parameters (Å, degrees): 5.254 5.254 5.083 90.00 90.00 90.00
Sites, in units of the cell vectors:
1 Tl 0.000 0.000 0.500
2 Co 0.000 0.000 0.000
3 Hg 0.000 0.500 0.000
4 Hg 0.500 0.000 0.000
5 Rb 0.500 0.500 0.500

=====

[14]
## Li3Cd5Au2 (PBE)

Data for a relaxed Li3Cd5Au2 crystal.

Computed properties:
Crystal system   orthorhombic
Energy   -1.852 eV per atom
Calculated formation energy   -1.64 eV per formula unit
D(E_F)   0.31 states/eV per atom
Spin magnetization   0.00 μB per formula unit

Lattice parameters (Å, degrees): 5.622 9.464 9.464 95.63 72.72 72.72
Sites, in units of the cell vectors:
1 Li 0.250 0.000 0.000
2 Li 0.750 0.000 0.000
3 Li 0.390 0.316 0.905
4 Li 0.610 0.684 0.095
5 Li 0.890 0.905 0.316
6 Li 0.110 0.095 0.684
7 Cd 0.250 0.500 0.500
8 Cd 0.750 0.500 0.500
9 Cd 0.491 0.759 0.759
10 Cd 0.009 0.241 0.241
11 Cd 0.509 0.241 0.241
12 Cd 0.991 0.759 0.759
13 Cd 0.123 0.540 0.215
14 Cd 0.877 0.460 0.785
15 Cd 0.623 0.215 0.540
16 Cd 0.377 0.785 0.460
17 Au 0.118 0.738 0.026
18 Au 0.882 0.262 0.974
19 Au 0.618 0.026 0.738
20 Au 0.382 0.974 0.262

=====

[15]
## BaTa3Pb (PBE)

Data for a relaxed BaTa3Pb crystal.

Computed properties:
Polymorph energy (0 for the lowest one)   3.76 eV per formula unit
Crystal system   cubic
Energy   -5.441 eV per atom
Calculated formation energy   13.99 eV per formula unit
D(E_F)   1.92 states/eV per atom
Spin magnetization   0.00 μB per formula unit

Lattice parameters (Å, degrees): 5.160 5.160 5.160 90.00 90.00 90.00
Sites, in units of the cell vectors:
1 Pb 0.500 0.500 0.500
2 Ba 0.000 0.000 0.000
3 Ta 0.000 0.500 0.000
4 Ta 0.000 0.000 0.500
5 Ta 0.500 0.000 0.000

=====

[16]
## FeSb2IN (PBE)

Data for a relaxed FeSb2IN crystal.

Computed properties:
Polymorph energy (0 for the lowest one)   0.87 eV per formula unit
Crystal system   tetragonal
Energy   -3.842 eV per atom
D(E_F)   1.15 states/eV per atom
Spin magnetization   0.00 μB per formula unit
Formation energy (no corrections)   7.4 eV per formula unit

Lattice parameters (Å, degrees): 4.785 4.785 5.230 90.00 90.00 90.00
Sites, in units of the cell vectors:
1 I 0.000 0.000 0.500
2 Sb 0.000 0.500 0.000
3 Sb 0.500 0.000 0.000
4 Fe 0.000 0.000 0.000
5 N 0.500 0.500 0.500

=====

[17]
## Sc6C3Se2 (PBE)

Data for a relaxed Sc6C3Se2 crystal.

Computed properties:
Crystal system   monoclinic
Energy   -7.600 eV per atom
D(E_F)   0.33 states/eV per atom
Spin magnetization   0.96 μB per formula unit
Formation energy (no corrections)   -11.0 eV per formula unit

Lattice parameters (Å, degrees): 5.962 5.961 6.540 81.22 72.23 59.99
Site moments in Bohr magnetons follow the coordinates.
Sites, in units of the cell vectors:
1 Sc 0.398 0.661 0.806  0.07
2 Sc 0.735 0.000 0.812  0.05
3 Sc 0.059 0.339 0.806  0.07
4 Sc 0.265 0.000 0.188  0.05
5 Sc 0.602 0.339 0.194  0.07
6 Sc 0.941 0.661 0.194  0.07
7 C 0.000 0.000 0.000  -0.01
8 C 0.332 0.336 0.000  -0.01
9 C 0.668 0.664 0.000  -0.01
10 Se 0.166 0.668 0.500  0.01
11 Se 0.834 0.332 0.500  0.01

=====

[18]
## SmGdDy2 (PBE)

Data for a relaxed SmGdDy2 crystal.

Computed properties:
Polymorph energy (0 for the lowest one)   0.42 eV per formula unit
Crystal system   cubic
Energy   -6.881 eV per atom
Calculated formation energy   0.48 eV per formula unit
D(E_F)   2.14 states/eV per atom
Spin magnetization   8.51 μB per formula unit

Lattice parameters (Å, degrees): 5.694 5.694 5.694 60.00 60.00 60.00
Site moments in Bohr magnetons follow the coordinates.
Sites, in units of the cell vectors:
1 Gd 0.000 0.000 0.000  7.32
2 Sm 0.500 0.500 0.500  0.12
3 Dy 0.250 0.250 0.250  0.22
4 Dy 0.750 0.750 0.750  0.22

=====

[19]
## Ba3Pa3ReN8 (PBE)

Data for a relaxed Ba3Pa3ReN8 crystal.

Computed properties:
Crystal system   trigonal
Energy   -8.524 eV per atom
D(E_F)   0.50 states/eV per atom
Spin magnetization   1.47 μB per formula unit
Formation energy (no corrections)   -14.6 eV per formula unit

Lattice parameters (Å, degrees): 6.999 7.000 7.560 117.60 90.00 119.99
Site moments in Bohr magnetons follow the coordinates.
Sites, in units of the cell vectors:
1 Ba 0.000 0.000 0.000  -0.03
2 Ba 0.000 0.500 0.000  -0.03
3 Ba 0.500 0.500 0.000  -0.03
4 Pa 0.500 0.000 0.500  0.08
5 Pa 0.500 0.500 0.500  0.08
6 Pa 0.000 0.500 0.500  0.08
7 Re 0.000 0.000 0.500  1.01
8 N 0.273 0.546 0.319  0.01
9 N 0.727 0.454 0.681  0.01
10 N 0.785 0.569 0.335  0.03
11 N 0.215 0.431 0.665  0.03
12 N 0.785 0.051 0.335  0.03
13 N 0.215 0.949 0.665  0.03
14 N 0.266 0.051 0.335  0.03
15 N 0.734 0.949 0.665  0.03

=====

[20]
## K3HfRu (PBE)

Data for a relaxed K3HfRu crystal.

Computed properties:
Polymorph energy (0 for the lowest one)   2.78 eV per formula unit
Crystal system   cubic
Energy   -2.003 eV per atom
Calculated formation energy   12.51 eV per formula unit
D(E_F)   9.46 states/eV per atom
Spin magnetization   0.00 μB per formula unit

Lattice parameters (Å, degrees): 6.356 6.356 6.356 90.00 90.00 90.00
Sites, in units of the cell vectors:
1 Ru 0.500 0.500 0.500
2 K 0.000 0.500 0.000
3 K 0.000 0.000 0.500
4 K 0.500 0.000 0.000
5 Hf 0.000 0.000 0.000

=====

[21]
## PrLuCdGe (PBE)

Data for a relaxed PrLuCdGe crystal.

Computed properties:
Crystal system   cubic
Energy   -4.143 eV per atom
Calculated formation energy   -1.74 eV per formula unit
D(E_F)   0.71 states/eV per atom
Spin magnetization   0.00 μB per formula unit

Lattice parameters (Å, degrees): 5.204 5.204 5.204 60.00 60.00 60.00
Sites, in units of the cell vectors:
1 Pr 0.500 0.500 0.500
2 Ge 0.250 0.250 0.250
3 Lu 0.000 0.000 0.000
4 Cd 0.750 0.750 0.750

=====

[22]
## RbLi (PBE)

Data for a relaxed RbLi crystal.

Computed properties:
Crystal system   tetragonal
Energy   -1.281 eV per atom
Calculated formation energy   0.32 eV per formula unit
D(E_F)   0.71 states/eV per atom
Spin magnetization   0.00 μB per formula unit

Lattice parameters (Å, degrees): 14.144 14.144 4.316 90.00 90.00 90.00
Sites, in units of the cell vectors:
1 Rb 0.192 0.885 0.000
2 Rb 0.808 0.115 0.000
3 Rb 0.115 0.192 0.000
4 Rb 0.885 0.808 0.000
5 Rb 0.692 0.385 0.500
6 Rb 0.308 0.615 0.500
7 Rb 0.615 0.692 0.500
8 Rb 0.385 0.308 0.500
9 Li 0.409 0.062 0.000
10 Li 0.591 0.938 0.000
11 Li 0.938 0.409 0.000
12 Li 0.062 0.591 0.000
13 Li 0.909 0.562 0.500
14 Li 0.091 0.438 0.500
15 Li 0.438 0.909 0.500
16 Li 0.562 0.091 0.500

=====

[23]
## BSbIN2 (PBE)

Data for a relaxed BSbIN2 crystal.

Computed properties:
Polymorph energy (0 for the lowest one)   0.00 eV per formula unit
Crystal system   tetragonal
Energy   -3.895 eV per atom
D(E_F)   0.42 states/eV per atom
Spin magnetization   0.87 μB per formula unit
Formation energy (no corrections)   9.5 eV per formula unit

Lattice parameters (Å, degrees): 4.001 4.001 7.255 90.00 90.00 90.00
Site moments in Bohr magnetons follow the coordinates.
Sites, in units of the cell vectors:
1 I 0.000 0.000 0.500  0.00
2 Sb 0.000 0.000 0.000  -0.02
3 B 0.500 0.500 0.500  0.00
4 N 0.000 0.500 0.000  0.32
5 N 0.500 0.000 0.000  0.32

=====

[24]
## Pm2Sm4DyTh (PBE)

Data for a relaxed Pm2Sm4DyTh crystal.

Computed properties:
Crystal system   monoclinic
Energy   -4.915 eV per atom
Calculated formation energy   1.08 eV per formula unit
D(E_F)   1.99 states/eV per atom
Spin magnetization   0.00 μB per formula unit

Lattice parameters (Å, degrees): 6.051 6.048 9.481 50.44 90.00 90.00
Sites, in units of the cell vectors:
1 Pm 0.000 0.000 0.000
2 Pm 0.500 0.000 0.500
3 Sm 0.000 0.747 0.753
4 Sm 0.000 0.253 0.247
5 Sm 0.500 0.753 0.247
6 Sm 0.500 0.247 0.753
7 Dy 0.000 0.500 0.500
8 Th 0.500 0.500 0.000